1.
This record from Alexandria via LeMat-Bulk describes NiAu3 after structural relaxation. The functional is PBE-GGA.

a = 9.386 Å, b = 9.386 Å, c = 9.386 Å
α = 17.60°, β = 17.60°, γ = 17.60°
Fractional positions:
Ni 0.750 0.750 0.750
Au 0.008 0.008 0.008
Au 0.250 0.250 0.250
Au 0.492 0.492 0.492

Properties
DOS at the Fermi energy: 0.543 states/eV per atom
symmetry: R-3m
total magnetic moment: 0.0001 μB/atom
ΔH_f (0 K): 43 kJ/mol of formula units

***

2.
This record from Alexandria via LeMat-Bulk describes SmDy5Ho2Er after structural relaxation. The functional is PBE-GGA.

a = 5.575 Å, b = 10.299 Å, c = 10.577 Å
α = 90.00°, β = 90.00°, γ = 105.70°
Fractional positions:
Sm 0.799 0.598 0.510
Sm 0.201 0.402 0.010
Dy 0.393 0.785 0.024
Dy 0.718 0.436 0.806
Dy 0.479 0.958 0.739
Dy 0.300 0.600 0.707
Dy 0.982 0.965 0.525
Dy 0.607 0.215 0.524
Dy 0.282 0.564 0.306
Dy 0.521 0.042 0.239
Dy 0.700 0.400 0.207
Dy 0.018 0.035 0.025
Ho 0.886 0.772 0.818
Ho 0.109 0.218 0.738
Ho 0.114 0.228 0.318
Ho 0.891 0.782 0.238
Er 0.587 0.173 0.956
Er 0.413 0.827 0.456

Properties
DOS at the Fermi energy: 1.558 states/eV per atom
symmetry: Cmc2_1
total magnetic moment: 0.0000 μB/atom
ΔH_f (0 K): 134 kJ/mol of formula units

***

3.
This record from Alexandria via LeMat-Bulk describes HgSe after structural relaxation. The functional is PBE-GGA.

a = 5.736 Å, b = 5.736 Å, c = 5.529 Å
α = 90.00°, β = 90.00°, γ = 90.00°
Fractional positions:
Hg 0.500 0.500 0.000
Hg 0.000 0.500 0.500
Hg 0.500 0.000 0.500
Se 0.500 0.500 0.500
Se 0.500 0.000 0.000
Se 0.000 0.500 0.000

Properties
formation energy (no corrections): 0.107 eV per atom
DOS at the Fermi energy: 0.875 states/eV per atom
symmetry: P4/mmm
total magnetic moment: 0.0000 μB/atom

***

Q: What is the DOS at the Fermi energy in the second record?
A: 1.558 states/eV per atom

***

Q: What is the DOS at the Fermi energy in the second record?
A: 1.558 states/eV per atom